Cs2VH2F6: relaxed, PBE+U.

Cell lengths 5.817, 6.385, 6.934 Å; angles 114.96, 90.00, 117.10 degrees
Fractional positions:
Cs  0.702  0.404  0.180
Cs  0.298  0.596  0.820
F  0.689  0.900  0.268
F  0.789  0.100  0.732
F  0.149  0.297  0.299
F  0.851  0.703  0.701
F  0.211  0.900  0.268
F  0.311  0.100  0.732
V  0.500  0.000  0.500
H  0.059  0.118  0.282
H  0.941  0.882  0.718

Raw total energy in eV/atom: -4.698

CsVHF6: relaxed, PBE+U.

Cell lengths 5.109, 4.860, 6.279 Å; angles 89.13, 95.40, 71.35 degrees
Fractional positions:
F  0.604  0.951  0.443
F  0.064  0.253  0.315
F  0.424  0.495  0.263
F  0.243  0.171  0.737
F  0.603  0.413  0.685
F  0.062  0.715  0.557
V  0.333  0.333  0.500
H  0.833  0.833  0.500
Cs  0.834  0.835  0.000

Raw total energy in eV/atom: -5.070

CsH2WF8: relaxed, PBE+U.

Cell lengths 5.007, 5.151, 8.538 Å; angles 79.12, 89.91, 70.50 degrees
Fractional positions:
F  0.656  0.658  0.376
F  0.779  0.195  0.157
F  0.778  0.764  0.008
F  0.250  0.737  0.185
F  0.344  0.342  0.624
F  0.750  0.263  0.815
F  0.222  0.236  0.992
F  0.221  0.805  0.843
H  0.525  0.678  0.287
H  0.475  0.322  0.713
Cs  0.000  0.000  0.500
W  0.000  0.000  0.000

Raw total energy in eV/atom: -4.882